# SmMgAl4, optimized geometry, DFT GGA-PBE
# Total moment (μB/atom): 0.00
# ΔH_f (0 K) (eV per atom): -0.263
data_SmMgAl4
_cell_length_a 5.5830
_cell_length_b 5.5830
_cell_length_c 8.8639
_cell_angle_alpha 90.00
_cell_angle_beta 90.00
_cell_angle_gamma 120.00
_symmetry_space_group_name_H-M 'P -3 m 1'
_symmetry_Int_Tables_number 164
_symmetry_space_group_name_Hall '-P 3 2"'
loop_
_atom_site_label
_atom_site_type_symbol
_atom_site_fract_x
_atom_site_fract_y
_atom_site_fract_z
_atom_site_occupancy
Sm1 Sm 0.3333 0.6667 0.4286 1
Mg1 Mg 0.3333 0.6667 0.0545 1
Al1 Al 0.0000 0.0000 0.0000 1
Al2 Al 0.0000 0.0000 0.5000 1
Al3 Al 0.1709 0.3417 0.7542 1